An optimized crystal structure of La2MnFe. Source: Alexandria via LeMat-Bulk, functional PBE-GGA.

Structure (extended XYZ):
```
4
Lattice="8.067 -0.027 -0.016 7.153 3.731 -0.016 7.153 1.741 3.301" Properties=species:S:1:pos:R:3 pbc="T T T"
Fe 17.514 4.262 2.558
La 0.817 0.199 0.119
La 4.788 1.165 0.699
Mn 10.440 2.541 1.525
```

Calculated values
- uncorrected energy (eV/atom) = -6.740
- density of states at the Fermi level (states/eV/f.u.) = 6.5
- DFT formation energy (eV/atom) = 0.13
- density (Mg/m³) = 6.42